1.
## FeNi5 (GGA-PBE)

Data for crystalline FeNi5 at its relaxed geometry.

The space group is Amm2 (No. 38) and the conventional cell measures 4.079, 2.494 and 12.980 Å, with angles of 90.00, 90.00 and 90.00 degrees. The asymmetric unit holds Fe at (0.000, 0.000, 0.000), Ni at (0.000, 0.000, 0.334), Ni at (0.000, 0.000, 0.668), Ni at (0.500, 0.000, 0.223), Ni at (0.500, 0.000, 0.558) and Ni at (0.500, 0.000, 0.890).

As for the crystal system: orthorhombic. For the calculated volume, the calculation gives 11.0 A^3/atom. The energy relative to the elements comes out at -0.612 kcal/mol of atoms.

***

2.
## Fe5Ni7 (GGA-PBE)

Data for crystalline Fe5Ni7 at its relaxed geometry.

The space group is C2/m (No. 12) and the conventional cell measures 10.550, 3.534 and 7.238 Å, with angles of 90.00, 90.55 and 90.00 degrees. The asymmetric unit holds Fe at (0.000, 0.000, 0.000), Fe at (0.163, 0.500, 0.507), Fe at (0.168, 0.000, 0.243), Ni at (0.000, 0.000, 0.500), Ni at (0.002, 0.500, 0.251), Ni at (0.166, 0.000, 0.750) and Ni at (0.167, 0.500, 0.000).

As for the crystal system: monoclinic. For the calculated volume, the calculation gives 11.2 A^3/atom. The energy relative to the elements comes out at -1.017 kcal/mol of atoms. The energy above the most stable polymorph in this dataset comes out at 0 kJ/mol of formula units.